(1)
Compound: SnIr2Se
Source: Alexandria
Functional: GGA-PBE
Structure: relaxed

Properties
The calculation puts the formation energy (no corrections) at 0.1556 eV/atom. The calculation puts the calculated total energy at -24.59 eV/f.u. The spin magnetization comes out at 0.00 μB per formula unit.

The structure in POSCAR format:
```
SnIr2Se
1.0
-2.217 2.217 7.992
2.217 -2.217 7.992
2.217 2.217 -7.992
Sn Ir Se
2 4 2
Cartesian
0.000 0.000 0.000
0.000 2.217 3.996
1.109 -0.887 5.994
1.330 1.109 1.998
1.109 3.104 -1.998
0.887 1.109 9.990
2.217 0.000 3.996
0.000 0.000 7.992
```


(2)
Compound: In2AgMo
Source: Alexandria
Functional: GGA-PBE
Structure: relaxed

Properties
The calculation puts the calculated total energy at -17.96 eV/f.u. The calculation puts the energy above the lowest structure with this stoichiometry at 0.049 eV per atom. Its formation energy is 299 meV/atom. The spin magnetization comes out at 0.45 μB per formula unit.

The structure in POSCAR format:
```
In2AgMo
1.0
2.981 0.000 0.000
0.000 2.981 0.000
0.000 0.000 8.735
In Ag Mo
2 1 1
Cartesian
0.000 0.000 2.083
0.000 0.000 6.652
1.490 1.490 4.367
1.490 1.490 0.000
```


(3)
Compound: Tl2TcCF
Source: Alexandria
Functional: GGA-PBE
Structure: relaxed

Properties
The calculation puts the formation energy (no corrections) at 0.1704 eV/atom. The calculation puts the calculated total energy at -25.34 eV/f.u. The spin magnetization comes out at 0.00 μB per formula unit.

The structure in POSCAR format:
```
Tl2TcCF
1.0
5.340 0.000 0.000
0.000 5.340 0.000
0.000 0.000 3.854
Tl Tc C F
2 1 1 1
Cartesian
0.000 2.670 0.000
2.670 0.000 0.000
0.000 0.000 0.000
0.000 0.000 1.927
2.670 2.670 1.927
```


(4)
Compound: K2BaF
Source: Alexandria
Functional: GGA-PBE
Structure: relaxed

Properties
The calculation puts the formation energy (no corrections) at -1.1573 eV/atom. The calculation puts the calculated total energy at -10.62 eV/f.u. The calculation puts the energy above the lowest structure with this stoichiometry at 0.046 eV per atom. The spin magnetization comes out at 0.00 μB per formula unit.

The structure in POSCAR format:
```
K2BaF
1.0
-4.156 4.156 5.893
4.156 -4.156 5.893
4.156 4.156 -5.893
K Ba F
4 2 2
Cartesian
0.000 0.000 0.000
2.078 2.078 -2.946
2.078 -2.078 2.946
0.000 4.156 0.000
4.156 2.078 1.473
0.000 2.078 4.419
4.156 -2.078 4.419
0.000 6.234 1.473
```